(1)
VASP calculation (PBE) on BaErTlS3 after structural relaxation.

## Properties
Energy = -5.002 eV per atom

a b c (Å): 8.0057 8.0057 11.6792
angles (deg): 90.00 90.00 150.38
Closest atoms and distances in Å follow each position.
Positions (direct):
1 Ba 0.1578 0.8422 0.7500  4 S 2.97-3.14
2 Ba 0.8422 0.1578 0.2500  4 S 2.97-3.14
3 Er 0.5000 0.5000 0.0000  6 S 2.71-2.92
4 Er 0.5000 0.5000 0.5000  6 S 2.71-2.92
5 Tl 0.1309 0.8691 0.2500  4 S 2.93-2.96
6 Tl 0.8691 0.1309 0.7500  4 S 2.93-2.96
7 S 0.1148 0.8852 0.5022  2 Er 2.71, 1 Tl 2.96, 1 Ba 2.97
8 S 0.1148 0.8852 0.9978  2 Er 2.71, 1 Tl 2.96, 1 Ba 2.97
9 S 0.4956 0.5044 0.2500  2 Er 2.92, 2 Tl 2.93, 2 Ba 3.14
10 S 0.5044 0.4956 0.7500  2 Er 2.92, 2 Tl 2.93, 2 Ba 3.14
11 S 0.8852 0.1148 0.0022  2 Er 2.71, 1 Tl 2.96, 1 Ba 2.97
12 S 0.8852 0.1148 0.4978  2 Er 2.71, 1 Tl 2.96, 1 Ba 2.97

---

(2)
VASP calculation (PBE) on La2PmPa2 after structural relaxation.

## Properties
E_form = 0.330 eV/atom
Energy = -6.386 eV per atom

a b c (Å): 5.6682 5.6682 11.1847
angles (deg): 90.00 90.00 118.75
Closest atoms and distances in Å follow each position.
Positions (direct):
1 La 0.1889 0.8111 0.5833  4 Pa 3.25-3.52
2 La 0.1889 0.8111 0.9167  4 Pa 3.25-3.52
3 La 0.8111 0.1889 0.0833  4 Pa 3.25-3.52
4 La 0.8111 0.1889 0.4167  4 Pa 3.25-3.52
5 Pm 0.1324 0.8676 0.2500  6 Pa 3.42-3.63, 4 La 3.65-3.77
6 Pm 0.8676 0.1324 0.7500  6 Pa 3.42-3.63, 4 La 3.65-3.77
7 Pa 0.4540 0.5460 0.1286  2 Pa 2.72-3.01
8 Pa 0.4540 0.5460 0.3714  2 Pa 2.72-3.01
9 Pa 0.5460 0.4540 0.6286  2 Pa 2.72-3.01
10 Pa 0.5460 0.4540 0.8714  2 Pa 2.72-3.01

---

(3)
VASP calculation (PBE) on Ba2ZnCdS2O2 after structural relaxation.

## Properties
Energy = -4.716 eV per atom

a b c (Å): 4.1543 4.1543 12.3577
angles (deg): 90.00 90.00 120.00
Closest atoms and distances in Å follow each position.
Positions (direct):
1 Ba 0.0000 0.0000 0.0000  3 O 2.55
2 Ba 0.3333 0.6667 0.5186  3 O 2.54
3 Zn 0.6667 0.3333 0.7406  1 O 1.90
4 Cd 0.6667 0.3333 0.2435  1 O 2.15
5 S 0.0000 0.0000 0.3224  3 Cd 2.59
6 S 0.3333 0.6667 0.8019  3 Zn 2.52
7 O 0.6667 0.3333 0.0693  1 Cd 2.15
8 O 0.6667 0.3333 0.5866  1 Zn 1.90